# 1
First-principles (GGA-PBE) data for crystalline Sr2AgBi4Pt3 at its relaxed geometry, as listed in the Alexandria database.

## Properties
DFT total energy = -4.50 eV/atom
E_form = -0.515 eV/atom

a = 4.8882 Å, b = 4.8882 Å, c = 11.2639 Å
α = 90.00°, β = 90.00°, γ = 90.00°
Space group P-4m2 (No. 115)
Symmetry-distinct sites (fractional):
Sr: 0.0000 0.5000 0.2368 x2
Ag: 0.5000 0.5000 0.0000 x1
Bi: 0.0000 0.0000 0.5000 x1
Bi: 0.0000 0.5000 0.8678 x2
Bi: 0.5000 0.5000 0.5000 x1
Pt: 0.0000 0.0000 0.0000 x1
Pt: 0.0000 0.5000 0.6266 x2

---

# 2
First-principles (GGA-PBE) data for crystalline TiAs2RhC at its relaxed geometry, as listed in the Alexandria database.

## Properties
DFT total energy = -5.99 eV/atom
E_form = 0.761 eV/atom

a = 4.9771 Å, b = 4.9771 Å, c = 3.7055 Å
α = 90.00°, β = 90.00°, γ = 90.00°
Space group P4/mmm (No. 123)
Symmetry-distinct sites (fractional):
Ti: 0.0000 0.0000 0.0000 x1
As: 0.0000 0.5000 0.5000 x2
Rh: 0.5000 0.5000 0.5000 x1
C: 0.5000 0.5000 0.0000 x1

---

# 3
First-principles (GGA-PBE) data for crystalline LuScBe4 at its relaxed geometry, as listed in the Alexandria database.

## Properties
DFT total energy = -4.32 eV/atom
E_form = -0.023 eV/atom

a = 6.8841 Å, b = 6.8841 Å, c = 6.8841 Å
α = 90.00°, β = 90.00°, γ = 90.00°
Space group F-43m (No. 216)
Symmetry-distinct sites (fractional):
Lu: 0.0000 0.0000 0.0000 x4
Sc: 0.2500 0.2500 0.2500 x4
Be: 0.1238 0.1238 0.6238 x16

---

Which formula does entry 1 have?
Sr2AgBi4Pt3

---

Which formula does entry 2 have?
TiAs2RhC